PBE-GGA PrHIr, optimized geometry; SG = P-6m2 (187); volume = 51.6 Å³/f.u.; total DFT energy (no corrections) = -17.4 eV/cell; total moment = 0.00 μB/cell
1.0
-2.066 3.139 0.051
-1.032 -0.617 -3.797
-2.223 -1.511 2.939
H Ir Pr
1 1 1
Cartesian
-1.774 -0.391 -1.543
-0.344 0.523 0.009
-3.203 0.879 0.728



PBE-GGA PrHIr, optimized geometry; SG = C2/m (12); volume = 51.9 Å³/f.u.; total DFT energy (no corrections) = -37.4 eV/cell; total moment = 0.00 μB/cell
1.0
3.883 0.311 1.173
-0.013 4.343 -1.114
0.256 -2.921 6.983
H Ir Pr
2 2 2
Cartesian
0.751 0.244 0.977
3.375 1.489 6.065
3.745 0.052 5.222
0.380 1.681 1.820
1.613 -1.989 5.769
2.512 3.722 1.273